5
Lattice="5.042 0.000 0.000 0.000 5.042 0.000 0.000 0.000 5.060" Properties=species:S:1:pos:R:3 comment="LaFeSn2Pb, optimized geometry, DFT GGA-PBE" delta_e_f_ev_per_atom=-0.241 sg="No. 123" pbc="T T T"
La 0.000 0.000 0.000
Fe 0.000 0.000 2.530
Sn 0.000 2.521 2.530
Sn 2.521 0.000 2.530
Pb 2.521 2.521 0.000


5
Lattice="5.174 0.000 0.000 0.000 5.174 0.000 0.000 0.000 6.075" Properties=species:S:1:pos:R:3 comment="SrLaFe2Pb, optimized geometry, DFT GGA-PBE" delta_e_f_ev_per_atom=1.295 sg="No. 123" pbc="T T T"
Sr 0.000 0.000 0.000
La 2.587 2.587 0.000
Fe 0.000 2.587 3.037
Fe 2.587 0.000 3.037
Pb 2.587 2.587 3.037


5
Lattice="5.191 0.000 0.000 0.000 5.191 0.000 0.000 0.000 5.151" Properties=species:S:1:pos:R:3 comment="La2TlFePb, optimized geometry, DFT GGA-PBE" delta_e_f_ev_per_atom=-0.239 sg="No. 123" pbc="T T T"
La 0.000 2.596 0.000
La 2.596 0.000 0.000
Tl 0.000 0.000 2.575
Fe 0.000 0.000 0.000
Pb 2.596 2.596 2.575


5
Lattice="4.940 0.000 0.000 0.000 4.940 0.000 0.000 0.000 6.026" Properties=species:S:1:pos:R:3 comment="LaVFe2Pb, optimized geometry, DFT GGA-PBE" delta_e_f_ev_per_atom=1.568 sg="No. 123" pbc="T T T"
La 0.000 0.000 0.000
V 2.470 2.470 0.000
Fe 0.000 2.470 3.013
Fe 2.470 0.000 3.013
Pb 0.000 0.000 3.013


5
Lattice="5.290 0.000 0.000 0.000 5.290 0.000 0.000 0.000 4.968" Properties=species:S:1:pos:R:3 comment="LaY2FePb, optimized geometry, DFT GGA-PBE" delta_e_f_ev_per_atom=-0.190 sg="No. 123" pbc="T T T"
La 0.000 0.000 0.000
Y 0.000 2.645 2.484
Y 2.645 0.000 2.484
Fe 0.000 0.000 2.484
Pb 2.645 2.645 0.000


5
Lattice="5.131 0.000 0.000 0.000 5.131 0.000 0.000 0.000 4.871" Properties=species:S:1:pos:R:3 comment="La2ZnFePb, optimized geometry, DFT GGA-PBE" delta_e_f_ev_per_atom=-0.183 sg="No. 123" pbc="T T T"
La 0.000 2.565 0.000
La 2.565 0.000 0.000
Zn 0.000 0.000 2.435
Fe 0.000 0.000 0.000
Pb 2.565 2.565 2.435


5
Lattice="4.718 0.000 0.000 0.000 4.718 0.000 0.000 0.000 4.718" Properties=species:S:1:pos:R:3 comment="LaFePd3, optimized geometry, DFT GGA-PBE" delta_e_f_ev_per_atom=-0.107 sg="No. 221" e_above_lowest_polymorph_mev_per_atom=0 pbc="T T T"
La 0.000 0.000 0.000
Fe 2.359 2.359 2.359
Pd 0.000 2.359 2.359
Pd 2.359 0.000 2.359
Pd 2.359 2.359 0.000


4
Lattice="0.000 3.406 3.406 3.406 0.000 3.406 3.406 3.406 0.000" Properties=species:S:1:pos:R:3 comment="LaFePd2, optimized geometry, DFT GGA-PBE" delta_e_f_ev_per_atom=-0.166 sg="No. 225" pbc="T T T"
La 0.000 0.000 0.000
Fe 3.406 3.406 3.406
Pd 1.703 1.703 1.703
Pd 5.109 5.109 5.109


10
Lattice="7.474 0.000 0.000 0.000 7.474 0.000 0.000 0.000 2.942" Properties=species:S:1:pos:R:3 comment="LaFe2Pd2, optimized geometry, DFT GGA-PBE" delta_e_f_ev_per_atom=0.202 sg="No. 127" e_above_lowest_polymorph_mev_per_atom=365 pbc="T T T"
La 0.000 0.000 0.000
La 3.737 3.737 0.000
Fe 0.763 2.974 0.000
Fe 2.974 6.711 0.000
Fe 4.500 0.763 0.000
Fe 6.711 4.500 0.000
Pd 1.410 5.147 1.471
Pd 2.327 1.410 1.471
Pd 5.147 6.064 1.471
Pd 6.064 2.327 1.471


4
Lattice="0.000 3.263 3.263 3.263 0.000 3.263 3.263 3.263 0.000" Properties=species:S:1:pos:R:3 comment="LaFe2Pd, optimized geometry, DFT GGA-PBE" delta_e_f_ev_per_atom=0.242 sg="No. 225" pbc="T T T"
La 0.000 0.000 0.000
Fe 1.631 1.631 1.631
Fe 4.894 4.894 4.894
Pd 3.263 3.263 3.263


5
Lattice="5.198 0.000 0.000 0.000 5.198 0.000 0.000 0.000 5.198" Properties=species:S:1:pos:R:3 comment="La3FePd, optimized geometry, DFT GGA-PBE" delta_e_f_ev_per_atom=-0.086 sg="No. 221" e_above_lowest_polymorph_mev_per_atom=0 pbc="T T T"
La 0.000 0.000 2.599
La 0.000 2.599 0.000
La 2.599 0.000 0.000
Fe 0.000 0.000 0.000
Pd 2.599 2.599 2.599


5
Lattice="-2.083 2.083 5.291 2.083 -2.083 5.291 2.083 2.083 -5.291" Properties=species:S:1:pos:R:3 comment="LaFe2Pd2, optimized geometry, DFT GGA-PBE" delta_e_f_ev_per_atom=-0.163 sg="No. 139" e_above_lowest_polymorph_mev_per_atom=0 pbc="T T T"
La 0.000 0.000 0.000
Fe 0.000 0.000 4.150
Fe 0.000 0.000 6.433
Pd 2.083 0.000 2.646
Pd 0.000 2.083 2.646


8
Lattice="-2.306 2.306 8.306 2.306 -2.306 8.306 2.306 2.306 -8.306" Properties=species:S:1:pos:R:3 comment="LaFePd2, optimized geometry, DFT GGA-PBE" delta_e_f_ev_per_atom=0.159 sg="No. 122" pbc="T T T"
La 0.000 0.000 0.000
La 0.000 2.306 4.153
Fe 2.306 0.000 4.153
Fe 0.000 0.000 8.306
Pd 1.153 -0.587 6.229
Pd 1.719 1.153 2.076
Pd 1.153 2.893 -2.076
Pd 0.587 1.153 10.382